1.
## CeAsH (PBE)

Data for a geometry-optimized CeAsH structure.

Unit cell a=3.947 b=3.947 c=3.940 alpha=90.00 beta=90.00 gamma=120.00
Sites, in units of the cell vectors:
Ce1 0.000 0.000 0.000
As1 0.667 0.333 0.500
H1 0.333 0.667 0.000


2.
## BaFeCl (PBE)

Data for a geometry-optimized BaFeCl structure.

Unit cell a=6.916 b=6.916 c=6.916 alpha=148.13 beta=148.13 gamma=45.69
Sites, in units of the cell vectors:
Ba1 0.000 0.000 0.000
Fe1 0.321 0.321 0.000
Cl1 0.638 0.638 0.000

Output
- Raw formation energy: -12.06 kJ per mole of atoms


3.
## ReMo2Rh (PBE)

Data for a geometry-optimized ReMo2Rh structure.

Unit cell a=9.444 b=9.444 c=9.444 alpha=16.79 beta=16.79 gamma=16.79
Sites, in units of the cell vectors:
Re1 0.000 0.000 0.000
Mo1 0.249 0.249 0.249
Mo2 0.494 0.494 0.494
Rh1 0.747 0.747 0.747

Output
- Energy relative to the elements: 0.142 eV/atom


4.
## AcNdPu (PBE)

Data for a geometry-optimized AcNdPu structure.

Unit cell a=5.958 b=5.958 c=3.510 alpha=90.00 beta=90.00 gamma=120.00
Sites, in units of the cell vectors:
Ac1 0.000 0.000 0.000
Nd1 0.333 0.667 0.000
Pu1 0.667 0.333 0.500

Output
- Energy relative to the elements: 0.327 eV/atom


5.
## Be2TlBr (PBE)

Data for a geometry-optimized Be2TlBr structure.

Unit cell a=4.924 b=4.924 c=3.191 alpha=90.00 beta=90.00 gamma=95.36
Sites, in units of the cell vectors:
Be1 0.000 0.500 0.000
Be2 0.500 0.000 0.000
Tl1 0.000 0.000 0.500
Br1 0.500 0.500 0.500

Output
- Raw formation energy: 85.91 kJ per mole of atoms


6.
## Zr2Al2Ni (PBE)

Data for a geometry-optimized Zr2Al2Ni structure.

Unit cell a=6.681 b=6.681 c=4.497 alpha=90.00 beta=90.00 gamma=90.00
Sites, in units of the cell vectors:
Zr1 0.159 0.341 0.000
Zr2 0.341 0.841 0.000
Zr3 0.659 0.159 0.000
Zr4 0.841 0.659 0.000
Al1 0.147 0.647 0.500
Al2 0.353 0.147 0.500
Al3 0.647 0.853 0.500
Al4 0.853 0.353 0.500
Ni1 0.000 0.000 0.000
Ni2 0.500 0.500 0.000

Output
- Energy relative to the elements: 0.029 eV/atom


7.
## Rb8Te2O (PBE)

Data for a geometry-optimized Rb8Te2O structure.

Unit cell a=10.052 b=10.052 c=10.240 alpha=97.22 beta=97.22 gamma=34.29
Sites, in units of the cell vectors:
Rb1 0.048 0.048 0.259
Rb2 0.181 0.181 0.572
Rb3 0.325 0.325 0.941
Rb4 0.434 0.434 0.364
Rb5 0.566 0.566 0.636
Rb6 0.675 0.675 0.059
Rb7 0.819 0.819 0.428
Rb8 0.952 0.952 0.741
Te1 0.247 0.247 0.252
Te2 0.753 0.753 0.748
O1 0.000 0.000 0.500

Output
- Raw formation energy: -67.62 kJ per mole of atoms


8.
## LiPr2NiH6 (PBE)

Data for a geometry-optimized LiPr2NiH6 structure.

Unit cell a=5.052 b=5.052 c=4.685 alpha=90.00 beta=90.00 gamma=120.00
Sites, in units of the cell vectors:
Li1 0.000 0.000 0.000
Pr1 0.333 0.667 0.255
Pr2 0.667 0.333 0.745
Ni1 0.000 0.000 0.500
H1 0.160 0.321 0.724
H2 0.160 0.840 0.724
H3 0.321 0.160 0.276
H4 0.679 0.840 0.724
H5 0.840 0.160 0.276
H6 0.840 0.679 0.276


Number 1: calculated total energy -5.561 eV per atom. Number 2: calculated total energy -4.202 eV per atom. Number 3: calculated total energy -10.224 eV per atom. Number 4: calculated total energy -7.409 eV per atom. Number 5: calculated total energy -1.982 eV per atom. Number 6: calculated total energy -6.043 eV per atom. Number 7: calculated total energy -2.426 eV per atom. Number 8: calculated total energy -4.115 eV per atom.